(1)
Density functional theory data (PBE) for a relaxed structure of Pr2UOs2.

The structure in POSCAR format:
```
Pr2UOs2
1.0
-4.557 0.738 -3.620
-1.260 -4.416 -3.650
-5.599 -3.607 4.527
Pr U Os
4 2 4
direct
0.229 0.473 0.650 Pr
0.527 0.771 0.850 Pr
0.473 0.229 0.150 Pr
0.771 0.527 0.350 Pr
0.125 0.875 0.250 U
0.875 0.125 0.750 U
0.993 0.753 0.010 Os
0.007 0.247 0.990 Os
0.753 0.993 0.510 Os
0.247 0.007 0.490 Os
```

Results
Calculated total energy in eV per atom: -8.77

=====

(2)
Density functional theory data (PBE) for a relaxed structure of AcTePb2O6.

The structure in POSCAR format:
```
AcTePb2O6
1.0
-4.181 -4.122 2.160
-3.928 -2.853 -3.951
0.684 -6.102 -1.246
O Pb Te Ac
6 2 1 1
direct
0.626 0.129 0.791 O
0.131 0.455 0.789 O
0.172 0.992 0.244 O
0.591 0.172 0.243 O
0.455 0.625 0.789 O
0.993 0.593 0.242 O
0.031 0.031 0.905 Pb
0.537 0.539 0.387 Pb
0.319 0.319 0.044 Te
0.806 0.806 0.582 Ac
```

Results
Calculated total energy in eV per atom: -6.02

=====

(3)
Density functional theory data (PBE) for a relaxed structure of CdGa2Si.

The structure in POSCAR format:
```
CdGa2Si
1.0
-2.823 0.878 -0.231
-2.191 -1.816 0.835
-1.251 3.535 9.676
Ga Cd Si
2 1 1
direct
0.095 0.095 0.715 Ga
0.905 0.905 0.285 Ga
0.000 0.000 0.000 Cd
0.500 0.500 0.500 Si
```

Results
E above lowest polymorph in meV per atom: 0
Calculated total energy in eV per atom: -2.91

=====

(4)
Density functional theory data (PBE) for a relaxed structure of Tb6CePr2Y3.

The structure in POSCAR format:
```
Tb6CePr2Y3
1.0
6.223 -0.001 0.013
-3.111 5.389 0.013
-1.063 -1.840 11.697
Tb Pr Y Ce
6 2 3 1
direct
0.084 0.414 0.252 Tb
0.916 0.586 0.748 Tb
0.414 0.084 0.252 Tb
0.586 0.916 0.748 Tb
0.247 0.247 0.748 Tb
0.753 0.753 0.252 Tb
0.334 0.666 0.000 Pr
0.666 0.334 0.000 Pr
0.833 0.167 0.500 Y
0.500 0.500 0.500 Y
0.167 0.833 0.500 Y
0.000 0.000 0.000 Ce
```

Results
Calculated total energy in eV per atom: -5.18

=====

(5)
Density functional theory data (PBE) for a relaxed structure of Ac2PuPO8.

The structure in POSCAR format:
```
Ac2PuPO8
1.0
-3.524 3.180 2.874
-0.192 -5.522 0.517
4.061 0.294 4.653
O Ac P Pu
8 2 1 1
direct
0.286 0.143 0.831 O
0.857 0.714 0.831 O
0.143 0.286 0.169 O
0.667 0.333 0.494 O
0.857 0.143 0.831 O
0.143 0.857 0.169 O
0.333 0.667 0.506 O
0.714 0.857 0.169 O
0.333 0.667 0.855 Ac
0.667 0.333 0.145 Ac
0.000 0.000 0.000 P
0.000 0.000 0.500 Pu
```

Results
Calculated total energy in eV per atom: -7.99

=====

(6)
Density functional theory data (PBE) for a relaxed structure of TaBePb2.

The structure in POSCAR format:
```
TaBePb2
1.0
-2.915 1.766 3.883
-3.831 -0.095 -3.465
-0.688 -2.989 0.843
Be Pb Ta
1 2 1
direct
0.000 0.500 0.500 Be
0.500 0.500 0.000 Pb
0.000 0.000 0.000 Pb
0.500 0.000 0.500 Ta
```

Results
Calculated total energy in eV per atom: -4.93